Entry 1:
An optimized crystal structure of Ho6Sb2TeSe3. Source: the Alexandria database, functional GGA-PBE.

The space group is C2/m (No. 12) and the conventional cell measures 18.379, 4.201 and 8.433 Å, with angles of 90.00, 103.49 and 90.00 degrees. The asymmetric unit holds Ho at (0.003, 0.000, 0.230), Ho at (0.164, 0.500, 0.091), Ho at (0.175, 0.500, 0.578), Sb at (0.166, 0.000, 0.832), Te at (0.000, 0.500, 0.500), Se at (0.000, 0.500, 0.000) and Se at (0.165, 0.000, 0.334).

The value obtained for the density of states at the Fermi level is 9.5 states/eV/cell. The uncorrected formation energy is -1.45 eV/atom. The calculation puts the total energy at -133.49 eV/cell.

Entry 2:
An optimized crystal structure of Ho4Sb2TeSe. Source: the Alexandria database, functional GGA-PBE.

The space group is P2/m (No. 10) and the conventional cell measures 7.393, 4.302 and 7.462 Å, with angles of 90.00, 109.65 and 90.00 degrees. The asymmetric unit holds Ho at (0.245, 0.000, 0.239), Ho at (0.252, 0.500, 0.760), Sb at (0.500, 0.000, 0.000), Sb at (0.500, 0.500, 0.500), Te at (0.000, 0.000, 0.500) and Se at (0.000, 0.500, 0.000).

The value obtained for the density of states at the Fermi level is 3.6 states/eV/cell. The uncorrected formation energy is -1.31 eV/atom. The calculation puts the total energy at -43.67 eV/cell.

Entry 3:
An optimized crystal structure of Ho6Sb2Te3Se. Source: the Alexandria database, functional GGA-PBE.

The space group is C2/m (No. 12) and the conventional cell measures 18.866, 4.297 and 8.626 Å, with angles of 90.00, 103.90 and 90.00 degrees. The asymmetric unit holds Ho at (0.001, 0.000, 0.224), Ho at (0.154, 0.500, 0.082), Ho at (0.168, 0.500, 0.576), Sb at (0.166, 0.000, 0.331), Te at (0.000, 0.500, 0.500), Te at (0.170, 0.000, 0.835) and Se at (0.000, 0.500, 0.000).

The value obtained for the density of states at the Fermi level is 8.0 states/eV/cell. The uncorrected formation energy is -1.31 eV/atom. The calculation puts the total energy at -128.79 eV/cell.

Entry 4:
An optimized crystal structure of Ho4SbTeSe2. Source: the Alexandria database, functional GGA-PBE.

The space group is P2/m (No. 10) and the conventional cell measures 7.269, 4.191 and 7.322 Å, with angles of 90.00, 109.20 and 90.00 degrees. The asymmetric unit holds Ho at (0.233, 0.000, 0.222), Ho at (0.250, 0.500, 0.772), Sb at (0.000, 0.000, 0.500), Te at (0.500, 0.500, 0.500), Se at (0.000, 0.500, 0.000) and Se at (0.500, 0.000, 0.000).

The value obtained for the density of states at the Fermi level is 3.5 states/eV/cell. The uncorrected formation energy is -1.47 eV/atom. The calculation puts the total energy at -44.27 eV/cell.

Entry 5:
An optimized crystal structure of Ho3Tl3SbSe8. Source: the Alexandria database, functional GGA-PBE.

The space group is R-3m (No. 166, hexagonal axes) and the conventional cell measures 8.2801, 8.2801 and 23.3774 Å, with angles of 90.00, 90.00 and 120.00 degrees. The asymmetric unit holds Ho at (0.0000, 0.5000, 0.0000), Tl at (0.0000, 0.5000, 0.5000), Sb at (0.0000, 0.0000, 0.0000), Se at (0.0000, 0.0000, 0.2652) and Se at (0.0033, 0.5016, 0.7335).

The value obtained for the density of states at the Fermi level is 13.3 states/eV/cell. The uncorrected formation energy is -1.13 eV/atom. The calculation puts the total energy at -209.30 eV/cell.

Entry 6:
An optimized crystal structure of HoTl2SbSe4. Source: the Alexandria database, functional GGA-PBE.

The space group is Imma (No. 74) and the conventional cell measures 8.592, 8.810 and 12.320 Å, with angles of 90.00, 90.00 and 90.00 degrees. The asymmetric unit holds Ho at (0.250, 0.250, 0.250), Tl at (0.000, 0.000, 0.000), Tl at (0.250, 0.250, 0.750), Sb at (0.000, 0.000, 0.500), Se at (0.000, 0.030, 0.263) and Se at (0.227, 0.250, 0.485).

The value obtained for the density of states at the Fermi level is 0.5 states/eV/cell. The uncorrected formation energy is -0.84 eV/atom. The calculation puts the total energy at -136.41 eV/cell.